Ba3Cd5Sn2: optimized geometry, PBE.

The formation energy comes out at -345.5 meV/atom. The value obtained for the volume is 33.28 Å³/atom.

The structure belongs to space group Ibam (No. 72); the cell edges are 12.2445, 15.5453 and 6.9933 Å and the angles 90.00°, 90.00° and 90.00°. Symmetry generates all atoms from Ba at (0.0000, 0.0000, 0.2500), Ba at (0.2174, 0.3649, 0.0000), Cd at (0.0000, 0.2303, 0.2500), Cd at (0.0000, 0.5000, 0.2500), Cd at (0.0983, 0.3651, 0.5000) and Sn at (0.1656, 0.1367, 0.0000).